A plane-wave DFT calculation with meta-GGA SCAN was carried out for a PBEsol-optimized structure of Zn2AsPt.

Computed properties:
* space group: I-4m2, No. 119
* D(E_F): 0.44 states/eV/atom
* energy of formation: -0.1161 eV per atom
* total DFT energy (no corrections): -29.4697 eV/atom

Cell lengths 3.8717, 3.8717, 8.0500 Å; angles 90.00, 90.00, 90.00 degrees
Fractional coordinates of all 8 atoms:
1 Zn 0.0000 0.0000 0.0000
2 Zn 0.0000 0.5000 0.2500
3 Zn 0.5000 0.0000 0.7500
4 Zn 0.5000 0.5000 0.5000
5 As 0.0000 0.0000 0.5000
6 As 0.5000 0.5000 0.0000
7 Pt 0.0000 0.5000 0.7500
8 Pt 0.5000 0.0000 0.2500

A plane-wave DFT calculation with meta-GGA SCAN was carried out for a PBEsol-optimized structure of Zr2AsPt.

Computed properties:
* space group: I-4m2, No. 119
* D(E_F): 0.71 states/eV/atom
* energy of formation: -0.9669 eV per atom
* total DFT energy (no corrections): -38.9122 eV/atom

Cell lengths 3.8940, 3.8940, 9.5210 Å; angles 90.00, 90.00, 90.00 degrees
Fractional coordinates of all 8 atoms:
1 Zr 0.0000 0.0000 0.0000
2 Zr 0.0000 0.5000 0.2500
3 Zr 0.5000 0.0000 0.7500
4 Zr 0.5000 0.5000 0.5000
5 As 0.0000 0.0000 0.5000
6 As 0.5000 0.5000 0.0000
7 Pt 0.0000 0.5000 0.7500
8 Pt 0.5000 0.0000 0.2500

A plane-wave DFT calculation with meta-GGA SCAN was carried out for a PBEsol-optimized structure of Zr2AsPt.

Computed properties:
* space group: Immm, No. 71
* D(E_F): 0.69 states/eV/atom
* energy of formation: -0.9796 eV per atom
* total DFT energy (no corrections): -38.9249 eV/atom

Cell lengths 4.0676, 4.8639, 7.4183 Å; angles 90.00, 90.00, 90.00 degrees
Fractional coordinates of all 8 atoms:
1 Zr 0.0000 0.0000 0.2446
2 Zr 0.0000 0.0000 0.7554
3 Zr 0.5000 0.5000 0.2554
4 Zr 0.5000 0.5000 0.7446
5 As 0.0000 0.5000 0.5000
6 As 0.5000 0.0000 0.0000
7 Pt 0.0000 0.5000 0.0000
8 Pt 0.5000 0.0000 0.5000

A plane-wave DFT calculation with meta-GGA SCAN was carried out for a PBEsol-optimized structure of Zr2AsPt.

Computed properties:
* space group: F-43m, No. 216
* D(E_F): 0.93 states/eV/atom
* energy of formation: -0.3017 eV per atom
* total DFT energy (no corrections): -38.2470 eV/atom

Cell lengths 6.6053, 6.6053, 6.6053 Å; angles 90.00, 90.00, 90.00 degrees
Fractional coordinates of all 16 atoms:
1 Zr 0.0000 0.0000 0.0000
2 Zr 0.0000 0.5000 0.5000
3 Zr 0.2500 0.2500 0.2500
4 Zr 0.2500 0.7500 0.7500
5 Zr 0.5000 0.0000 0.5000
6 Zr 0.5000 0.5000 0.0000
7 Zr 0.7500 0.2500 0.7500
8 Zr 0.7500 0.7500 0.2500
9 As 0.2500 0.2500 0.7500
10 As 0.2500 0.7500 0.2500
11 As 0.7500 0.2500 0.2500
12 As 0.7500 0.7500 0.7500
13 Pt 0.0000 0.0000 0.5000
14 Pt 0.0000 0.5000 0.0000
15 Pt 0.5000 0.0000 0.0000
16 Pt 0.5000 0.5000 0.5000

A plane-wave DFT calculation with meta-GGA SCAN was carried out for a PBEsol-optimized structure of Zr2AsPt.

Computed properties:
* space group: R-3m, No. 166
* D(E_F): 0.33 states/eV/atom
* energy of formation: -1.1523 eV per atom
* total DFT energy (no corrections): -39.0976 eV/atom

Cell lengths 3.7293, 3.7293, 19.9155 Å; angles 90.00, 90.00, 120.00 degrees
Fractional coordinates of all 12 atoms:
1 Zr 0.0000 0.0000 0.2503
2 Zr 0.0000 0.0000 0.7497
3 Zr 0.3333 0.6667 0.4163
4 Zr 0.3333 0.6667 0.9170
5 Zr 0.6667 0.3333 0.0830
6 Zr 0.6667 0.3333 0.5837
7 As 0.0000 0.0000 0.5000
8 As 0.3333 0.6667 0.1667
9 As 0.6667 0.3333 0.8333
10 Pt 0.0000 0.0000 0.0000
11 Pt 0.3333 0.6667 0.6667
12 Pt 0.6667 0.3333 0.3333

A plane-wave DFT calculation with meta-GGA SCAN was carried out for a PBEsol-optimized structure of ZrAsPt3.

Computed properties:
* space group: Pm-3m, No. 221
* D(E_F): 0.59 states/eV/atom
* energy of formation: -0.0333 eV per atom
* total DFT energy (no corrections): -52.3270 eV/atom

Cell lengths 4.6014, 4.6014, 4.6014 Å; angles 90.00, 90.00, 90.00 degrees
Fractional coordinates of all 5 atoms:
1 Zr 0.0000 0.0000 0.0000
2 As 0.5000 0.5000 0.5000
3 Pt 0.0000 0.5000 0.5000
4 Pt 0.5000 0.0000 0.5000
5 Pt 0.5000 0.5000 0.0000

A plane-wave DFT calculation with meta-GGA SCAN was carried out for a PBEsol-optimized structure of Zr2AsPt.

Computed properties:
* space group: P4/mmm, No. 123
* D(E_F): 0.77 states/eV/atom
* energy of formation: -0.9798 eV per atom
* total DFT energy (no corrections): -38.9251 eV/atom

Cell lengths 3.4702, 3.4702, 6.0362 Å; angles 90.00, 90.00, 90.00 degrees
Fractional coordinates of all 4 atoms:
1 Zr 0.0000 0.0000 0.2490
2 Zr 0.0000 0.0000 0.7510
3 As 0.5000 0.5000 0.0000
4 Pt 0.5000 0.5000 0.5000

A plane-wave DFT calculation with meta-GGA SCAN was carried out for a PBEsol-optimized structure of Zr2AsPt.

Computed properties:
* space group: I4/mmm, No. 139
* D(E_F): 0.79 states/eV/atom
* energy of formation: -0.9521 eV per atom
* total DFT energy (no corrections): -38.8974 eV/atom

Cell lengths 4.3732, 4.3732, 7.5612 Å; angles 90.00, 90.00, 90.00 degrees
Fractional coordinates of all 8 atoms:
1 Zr 0.0000 0.5000 0.2500
2 Zr 0.0000 0.5000 0.7500
3 Zr 0.5000 0.0000 0.2500
4 Zr 0.5000 0.0000 0.7500
5 As 0.0000 0.0000 0.0000
6 As 0.5000 0.5000 0.5000
7 Pt 0.0000 0.0000 0.5000
8 Pt 0.5000 0.5000 0.0000

A plane-wave DFT calculation with meta-GGA SCAN was carried out for a PBEsol-optimized structure of PuAs3.

Computed properties:
* space group: Pm-3m, No. 221
* D(E_F): 1.73 states/eV/atom
* energy of formation: -0.3808 eV per atom
* total DFT energy (no corrections): -43.0591 eV/atom

Cell lengths 4.2106, 4.2106, 4.2106 Å; angles 90.00, 90.00, 90.00 degrees
Fractional coordinates of all 4 atoms:
1 Pu 0.0000 0.0000 0.0000
2 As 0.0000 0.5000 0.5000
3 As 0.5000 0.0000 0.5000
4 As 0.5000 0.5000 0.0000

A plane-wave DFT calculation with meta-GGA SCAN was carried out for a PBEsol-optimized structure of PuAs.

Computed properties:
* space group: Fm-3m, No. 225
* D(E_F): 4.70 states/eV/atom
* energy of formation: -0.8870 eV per atom
* total DFT energy (no corrections): -66.0529 eV/atom

Cell lengths 5.7363, 5.7363, 5.7363 Å; angles 90.00, 90.00, 90.00 degrees
Fractional coordinates of all 8 atoms:
1 Pu 0.0000 0.0000 0.0000
2 Pu 0.0000 0.5000 0.5000
3 Pu 0.5000 0.0000 0.5000
4 Pu 0.5000 0.5000 0.0000
5 As 0.0000 0.0000 0.5000
6 As 0.0000 0.5000 0.0000
7 As 0.5000 0.0000 0.0000
8 As 0.5000 0.5000 0.5000

A plane-wave DFT calculation with meta-GGA SCAN was carried out for a PBEsol-optimized structure of RbAs2Ru2.

Computed properties:
* space group: I4/mmm, No. 139
* D(E_F): 0.53 states/eV/atom
* energy of formation: -0.5122 eV per atom
* total DFT energy (no corrections): -26.6668 eV/atom

Cell lengths 4.0274, 4.0274, 13.5286 Å; angles 90.00, 90.00, 90.00 degrees
Fractional coordinates of all 10 atoms:
1 Rb 0.0000 0.0000 0.0000
2 Rb 0.5000 0.5000 0.5000
3 As 0.0000 0.0000 0.3482
4 As 0.0000 0.0000 0.6518
5 As 0.5000 0.5000 0.1518
6 As 0.5000 0.5000 0.8482
7 Ru 0.0000 0.5000 0.2500
8 Ru 0.0000 0.5000 0.7500
9 Ru 0.5000 0.0000 0.2500
10 Ru 0.5000 0.0000 0.7500

A plane-wave DFT calculation with meta-GGA SCAN was carried out for a PBEsol-optimized structure of Rb3AsRu.

Computed properties:
* space group: Pm-3m, No. 221
* D(E_F): 1.27 states/eV/atom
* energy of formation: 1.0571 eV per atom
* total DFT energy (no corrections): -22.3898 eV/atom

Cell lengths 5.5381, 5.5381, 5.5381 Å; angles 90.00, 90.00, 90.00 degrees
Fractional coordinates of all 5 atoms:
1 Rb 0.0000 0.0000 0.5000
2 Rb 0.0000 0.5000 0.0000
3 Rb 0.5000 0.0000 0.0000
4 As 0.5000 0.5000 0.5000
5 Ru 0.0000 0.0000 0.0000

A plane-wave DFT calculation with meta-GGA SCAN was carried out for a PBEsol-optimized structure of Rb2AsS.

Computed properties:
* space group: Fm-3m, No. 225
* total DFT energy (no corrections): -18.1118 eV/atom

Cell lengths 8.0001, 8.0001, 8.0001 Å; angles 90.00, 90.00, 90.00 degrees
Fractional coordinates of all 16 atoms:
1 Rb 0.2500 0.2500 0.2500
2 Rb 0.2500 0.2500 0.7500
3 Rb 0.2500 0.7500 0.2500
4 Rb 0.2500 0.7500 0.7500
5 Rb 0.7500 0.2500 0.2500
6 Rb 0.7500 0.2500 0.7500
7 Rb 0.7500 0.7500 0.2500
8 Rb 0.7500 0.7500 0.7500
9 As 0.0000 0.0000 0.0000
10 As 0.0000 0.5000 0.5000
11 As 0.5000 0.0000 0.5000
12 As 0.5000 0.5000 0.0000
13 S 0.0000 0.0000 0.5000
14 S 0.0000 0.5000 0.0000
15 S 0.5000 0.0000 0.0000
16 S 0.5000 0.5000 0.5000